The following is a DFT calculation (PBE-GGA) of an optimized crystal structure of Pa2BiPt2.

The space group is P4/mbm (No. 127) and the conventional cell measures 7.805, 7.805 and 3.822 Å, with angles of 90.00, 90.00 and 90.00 degrees. The distinct sites, in fractional coordinates, are Pa at (0.171, 0.329, 0.000), Bi at (0.000, 0.000, 0.500) and Pt at (0.128, 0.628, 0.500).

The total energy is -7.819 eV per atom. As for the calculated volume: 233 Å³/cell.

---

The following is a DFT calculation (PBE-GGA) of an optimized crystal structure of KDyAsO.

The space group is Pmc2_1 (No. 26) and the conventional cell measures 4.922, 6.832 and 5.985 Å, with angles of 90.00, 90.00 and 90.00 degrees. The distinct sites, in fractional coordinates, are K at (0.000, 0.131, 0.000), Dy at (0.500, 0.217, 0.501), As at (0.000, 0.433, 0.461) and O at (0.500, 0.009, 0.762).

The total energy is -5.392 eV per atom. As for the calculated volume: 201 Å³/cell. The energy above the most stable polymorph in this dataset is 2.6 kJ/mol of atoms.

---

The following is a DFT calculation (PBE-GGA) of an optimized crystal structure of HfPtNO.

The space group is P4/nmm (No. 129, origin choice 2) and the conventional cell measures 3.557, 3.557 and 7.426 Å, with angles of 90.00, 90.00 and 90.00 degrees. The distinct sites, in fractional coordinates, are Hf at (0.250, 0.250, 0.167), Pt at (0.250, 0.750, 0.500), N at (0.250, 0.250, 0.736) and O at (0.250, 0.750, 0.000).

The total energy is -8.217 eV per atom. As for the calculated volume: 94 Å³/cell. The energy above the most stable polymorph in this dataset is 49.1 kJ/mol of atoms.

---

Question: What is the calculated volume in the first record?
Answer: 233 Å³/cell

---

Repeat the third record exactly.
The following is a DFT calculation (PBE-GGA) of an optimized crystal structure of HfPtNO.

The space group is P4/nmm (No. 129, origin choice 2) and the conventional cell measures 3.557, 3.557 and 7.426 Å, with angles of 90.00, 90.00 and 90.00 degrees. The distinct sites, in fractional coordinates, are Hf at (0.250, 0.250, 0.167), Pt at (0.250, 0.750, 0.500), N at (0.250, 0.250, 0.736) and O at (0.250, 0.750, 0.000).

The total energy is -8.217 eV per atom. As for the calculated volume: 94 Å³/cell. The energy above the most stable polymorph in this dataset is 49.1 kJ/mol of atoms.

---

Repeat the third record exactly.
The following is a DFT calculation (PBE-GGA) of an optimized crystal structure of HfPtNO.

The space group is P4/nmm (No. 129, origin choice 2) and the conventional cell measures 3.557, 3.557 and 7.426 Å, with angles of 90.00, 90.00 and 90.00 degrees. The distinct sites, in fractional coordinates, are Hf at (0.250, 0.250, 0.167), Pt at (0.250, 0.750, 0.500), N at (0.250, 0.250, 0.736) and O at (0.250, 0.750, 0.000).

The total energy is -8.217 eV per atom. As for the calculated volume: 94 Å³/cell. The energy above the most stable polymorph in this dataset is 49.1 kJ/mol of atoms.

---

Question: What is the formula in the second record?
Answer: KDyAsO